## Ac4TlHgPb2 (PBE-GGA)

Data for a geometry-optimized Ac4TlHgPb2 structure.

Results
Space-group type: R-3m
Energy relative to the elements in meV/atom: -452
Total magnetic moment in μB per formula unit: 0.00

POSCAR file:
```
Ac4TlHgPb2
1.0
-3.603 -1.635 4.292
-2.713 -5.161 -0.274
5.190 -6.343 5.910
Hg Pb Tl Ac
1 2 1 4
Direct
0.500 0.500 0.500 Hg
0.751 0.751 0.746 Pb
0.249 0.249 0.254 Pb
0.000 0.000 0.000 Tl
0.875 0.875 0.376 Ac
0.125 0.125 0.624 Ac
0.375 0.375 0.874 Ac
0.625 0.625 0.126 Ac
```

***

## Ac4TlHg2Pb (PBE-GGA)

Data for a geometry-optimized Ac4TlHg2Pb structure.

Results
Space-group type: R-3m
Energy relative to the elements in meV/atom: -446
Total magnetic moment in μB per formula unit: 0.72

POSCAR file:
```
Ac4TlHg2Pb
1.0
5.811 0.000 0.000
2.905 5.032 0.000
2.905 1.677 9.466
Ac Pb Hg Tl
4 1 2 1
Direct
0.625 0.625 0.125 Ac
0.875 0.875 0.375 Ac
0.375 0.375 0.875 Ac
0.125 0.125 0.625 Ac
0.000 0.000 0.000 Pb
0.247 0.247 0.258 Hg
0.753 0.753 0.742 Hg
0.500 0.500 0.500 Tl
```

***

## AcTlHgPb (PBE-GGA)

Data for a geometry-optimized AcTlHgPb structure.

Results
Space-group type: F-43m
Energy relative to the elements in meV/atom: -330
Total magnetic moment in μB per formula unit: 0.00

POSCAR file:
```
AcTlHgPb
1.0
5.602 0.000 0.000
2.801 4.852 0.000
2.801 1.617 4.574
Pb Tl Ac Hg
1 1 1 1
Direct
0.250 0.250 0.250 Pb
0.000 0.000 0.000 Tl
0.750 0.750 0.750 Ac
0.500 0.500 0.500 Hg
```

***

## AcTmHgPb (PBE-GGA)

Data for a geometry-optimized AcTmHgPb structure.

Results
Space-group type: F-43m
Energy relative to the elements in meV/atom: -396
Total magnetic moment in μB per formula unit: 0.00

POSCAR file:
```
AcTmHgPb
1.0
5.571 0.000 0.000
2.785 4.825 0.000
2.785 1.608 4.549
Hg Tm Ac Pb
1 1 1 1
Direct
0.750 0.750 0.750 Hg
0.000 0.000 0.000 Tm
0.500 0.500 0.500 Ac
0.250 0.250 0.250 Pb
```

***

## AcZnHgPb (PBE-GGA)

Data for a geometry-optimized AcZnHgPb structure.

Results
Space-group type: F-43m
Energy relative to the elements in meV/atom: -291
Total magnetic moment in μB per formula unit: 0.00

POSCAR file:
```
AcZnHgPb
1.0
-3.255 0.616 -4.283
-4.331 -3.196 -0.591
-4.975 2.036 0.651
Pb Zn Hg Ac
1 1 1 1
Direct
0.750 0.750 0.750 Pb
0.000 0.000 0.000 Zn
0.500 0.500 0.500 Hg
0.250 0.250 0.250 Ac
```

***

## AcHg6Pd12 (PBE-GGA)

Data for a geometry-optimized AcHg6Pd12 structure.

Results
Space-group type: R-3m
Energy relative to the elements in meV/atom: -124
Total magnetic moment in μB per formula unit: 0.00

POSCAR file:
```
AcHg6Pd12
1.0
7.601 -0.086 -0.120
-1.967 7.342 -0.120
-1.967 -2.534 6.892
Pd Hg Ac
12 6 1
Direct
0.356 0.356 0.116 Pd
0.884 0.644 0.644 Pd
0.116 0.356 0.356 Pd
0.888 0.500 0.112 Pd
0.888 0.112 0.500 Pd
0.112 0.888 0.500 Pd
0.356 0.116 0.356 Pd
0.112 0.500 0.888 Pd
0.644 0.884 0.644 Pd
0.644 0.644 0.884 Pd
0.500 0.888 0.112 Pd
0.500 0.112 0.888 Pd
0.294 0.294 0.702 Hg
0.702 0.294 0.294 Hg
0.298 0.706 0.706 Hg
0.706 0.298 0.706 Hg
0.294 0.702 0.294 Hg
0.706 0.706 0.298 Hg
0.000 0.000 0.000 Ac
```

***

## Ac3HgPd3 (PBE-GGA)

Data for a geometry-optimized Ac3HgPd3 structure.

Results
Space-group type: P6_3/m
Energy relative to the elements in meV/atom: -607
Total magnetic moment in μB per formula unit: 0.00

POSCAR file:
```
Ac3HgPd3
1.0
6.080 0.000 0.000
0.000 9.288 0.000
0.000 -4.644 8.043
Pd Ac Hg
6 6 2
Direct
0.750 0.039 0.684 Pd
0.250 0.961 0.316 Pd
0.250 0.355 0.039 Pd
0.250 0.684 0.645 Pd
0.750 0.645 0.961 Pd
0.750 0.316 0.355 Pd
0.750 0.690 0.644 Ac
0.750 0.356 0.047 Ac
0.750 0.953 0.310 Ac
0.250 0.047 0.690 Ac
0.250 0.310 0.356 Ac
0.250 0.644 0.953 Ac
0.250 0.667 0.333 Hg
0.750 0.333 0.667 Hg
```

***

## AcHgPd3 (PBE-GGA)

Data for a geometry-optimized AcHgPd3 structure.

Results
Space-group type: Imma
Energy relative to the elements in meV/atom: -554
Total magnetic moment in μB per formula unit: 0.00

POSCAR file:
```
AcHgPd3
1.0
-3.972 -3.494 1.811
6.382 -6.698 1.076
-0.507 6.414 2.629
Pd Hg Ac
6 2 2
Direct
0.229 0.729 0.958 Pd
0.750 0.061 0.500 Pd
0.729 0.729 0.958 Pd
0.271 0.271 0.042 Pd
0.771 0.271 0.042 Pd
0.250 0.939 0.500 Pd
0.500 0.000 0.000 Hg
0.000 0.500 0.000 Hg
0.750 0.722 0.500 Ac
0.250 0.278 0.500 Ac
```

***

Which of these has the highest total magnetic moment?
Ac4TlHg2Pb